Material: ZnCrP2O7
Method: DFT, PBEsol
State: relaxed

Cell lengths 6.2273, 6.3394, 7.1802 Å; angles 70.44, 74.83, 81.17 degrees
Space group P-1 (No. 2)
Symmetry-distinct sites (fractional):
Zn: 0.0672 0.2103 0.3062 x2
Cr: 0.3249 0.4097 0.7233 x2
P: 0.1663 0.7092 0.2655 x2
P: 0.3905 0.8642 0.8207 x2
O: 0.0035 0.5573 0.2519 x2
O: 0.0480 0.8702 0.3859 x2
O: 0.2529 0.7179 0.7657 x2
O: 0.2532 0.8745 0.0453 x2
O: 0.3537 0.5614 0.3537 x2
O: 0.3785 0.2428 0.1551 x2
O: 0.3789 0.1067 0.6920 x2

**Volume**: 11.7 A^3/atom
**Formation energy from raw total energies**: -1936.7 meV/atom
**Total energy**: -81.46 eV/f.u.

Material: Be3Co5
Method: DFT, PBEsol
State: relaxed

Cell lengths 8.2773, 8.2773, 4.2244 Å; angles 90.00, 90.00, 90.00 degrees
Space group I4/mcm (No. 140)
Symmetry-distinct sites (fractional):
Be: 0.0000 0.0000 0.2500 x4
Be: 0.1710 0.3290 0.0000 x8
Co: 0.0000 0.5000 0.2500 x4
Co: 0.0731 0.2242 0.5000 x16

**Volume**: 9.0 A^3/atom
**Total energy**: -51.94 eV/f.u.
**DFT formation energy**: -0.157 eV/atom

Material: Tb2ZrAl9
Method: DFT, PBEsol
State: relaxed

Cell lengths 4.1768, 4.1768, 12.4777 Å; angles 90.00, 90.00, 90.00 degrees
Space group P4/mmm (No. 123)
Symmetry-distinct sites (fractional):
Tb: 0.0000 0.0000 0.1703 x2
Zr: 0.0000 0.0000 0.5000 x1
Al: 0.0000 0.5000 0.0000 x2
Al: 0.0000 0.5000 0.3386 x4
Al: 0.5000 0.5000 0.1691 x2
Al: 0.5000 0.5000 0.5000 x1

**Volume**: 18.1 A^3/atom
**Total energy**: -61.40 eV/f.u.
**DFT formation energy**: -0.456 eV/atom

Material: In3HO
Method: DFT, PBEsol
State: relaxed

Cell lengths 4.4897, 4.4897, 4.4897 Å; angles 90.00, 90.00, 90.00 degrees
Space group Pm-3m (No. 221)
Symmetry-distinct sites (fractional):
In: 0.0000 0.0000 0.5000 x3
H: 0.0000 0.0000 0.0000 x1
O: 0.5000 0.5000 0.5000 x1

**Volume**: 18.1 A^3/atom
**Total energy**: -15.93 eV/f.u.

Material: CaGa2O4
Method: DFT, PBEsol
State: relaxed

Cell lengths 7.9354, 8.8023, 10.5961 Å; angles 90.00, 94.83, 90.00 degrees
Space group P2_1/c (No. 14)
Symmetry-distinct sites (fractional):
Ca: 0.0015 0.2132 0.3698 x4
Ca: 0.4610 0.7357 0.1470 x4
Ga: 0.1743 0.0538 0.1388 x4
Ga: 0.2369 0.5590 0.3704 x4
Ga: 0.2881 0.1090 0.6184 x4
Ga: 0.3001 0.5937 0.8909 x4
O: 0.0300 0.0300 0.8241 x4
O: 0.1347 0.2426 0.0694 x4
O: 0.2068 0.5717 0.0448 x4
O: 0.2332 0.7459 0.2852 x4
O: 0.2735 0.0893 0.3035 x4
O: 0.2768 0.5858 0.5417 x4
O: 0.3753 0.0629 0.7818 x4
O: 0.4864 0.1613 0.5503 x4

**Volume**: 13.2 A^3/atom
**Formation energy from raw total energies**: -2260.7 meV/atom
**Total energy**: -45.64 eV/f.u.

Material: ScAg2Pb
Method: DFT, PBEsol
State: relaxed

Cell lengths 4.8229, 4.8229, 6.7800 Å; angles 90.00, 90.00, 90.00 degrees
Space group I-4m2 (No. 119)
Symmetry-distinct sites (fractional):
Sc: 0.0000 0.0000 0.0000 x2
Ag: 0.0000 0.0000 0.5000 x2
Ag: 0.0000 0.5000 0.2500 x2
Pb: 0.0000 0.5000 0.7500 x2

**Volume**: 19.7 A^3/atom
**Total energy**: -17.97 eV/f.u.
**DFT formation energy**: -0.185 eV/atom

Material: BaYCrSn2
Method: DFT, PBEsol
State: relaxed

Cell lengths 5.1853, 5.1853, 5.2192 Å; angles 90.00, 90.00, 90.00 degrees
Space group P4/mmm (No. 123)
Symmetry-distinct sites (fractional):
Ba: 0.0000 0.0000 0.0000 x1
Y: 0.5000 0.5000 0.0000 x1
Cr: 0.0000 0.0000 0.5000 x1
Sn: 0.0000 0.5000 0.5000 x2

**Volume**: 28.1 A^3/atom
**Total energy**: -26.28 eV/f.u.
**DFT formation energy**: 0.291 eV/atom

Material: VIrRu2
Method: DFT, PBEsol
State: relaxed

Cell lengths 5.0396, 5.0547, 5.3584 Å; angles 105.95, 105.37, 115.19 degrees
Space group P1 (No. 1)
Symmetry-distinct sites (fractional):
V: 0.0000 0.0000 0.0000 x1
V: 0.4388 0.9148 0.3527 x1
Ir: 0.5092 0.5000 0.0083 x1
Ir: 0.9304 0.4219 0.8473 x1
Ru: 0.0071 0.9927 0.4959 x1
Ru: 0.4297 0.9209 0.8502 x1
Ru: 0.5040 0.4906 0.4956 x1
Ru: 0.9265 0.4139 0.3379 x1

**Volume**: 13.3 A^3/atom
**Total energy**: -40.93 eV/f.u.
**DFT formation energy**: -0.281 eV/atom

Material: V2NiO6
Method: DFT, PBEsol
State: relaxed

Cell lengths 4.8856, 4.8879, 5.2890 Å; angles 117.41, 90.08, 119.98 degrees
Space group P1 (No. 1)
Symmetry-distinct sites (fractional):
V: 0.0000 0.0000 0.0000 x1
V: 0.4965 0.9920 0.4876 x1
Ni: 0.7056 0.4115 0.1160 x1
O: 0.1333 0.8974 0.3136 x1
O: 0.2825 0.9458 0.8261 x1
O: 0.4176 0.5508 0.3140 x1
O: 0.6626 0.5446 0.8255 x1
O: 0.7644 0.1813 0.3139 x1
O: 0.8812 0.1644 0.8263 x1

**Volume**: 10.3 A^3/atom
**Formation energy from raw total energies**: -1893.9 meV/atom
**Total energy**: -73.97 eV/f.u.

Material: CdReCl2
Method: DFT, PBEsol
State: relaxed

Cell lengths 3.0012, 3.0012, 8.7098 Å; angles 90.00, 90.00, 90.00 degrees
Space group P4/mmm (No. 123)
Symmetry-distinct sites (fractional):
Cd: 0.0000 0.0000 0.0000 x1
Re: 0.0000 0.0000 0.5000 x1
Cl: 0.5000 0.5000 0.3339 x2

**Volume**: 19.6 A^3/atom
**Formation energy from raw total energies**: 622.5 meV/atom
**Total energy**: -16.05 eV/f.u.

Material: TiMoPd3
Method: DFT, PBEsol
State: relaxed

Cell lengths 4.6694, 4.6694, 4.6694 Å; angles 90.00, 90.00, 90.00 degrees
Space group Pm-3m (No. 221)
Symmetry-distinct sites (fractional):
Ti: 0.0000 0.0000 0.0000 x1
Mo: 0.5000 0.5000 0.5000 x1
Pd: 0.0000 0.5000 0.5000 x3

**Volume**: 20.4 A^3/atom
**Total energy**: -32.29 eV/f.u.
**DFT formation energy**: 1.136 eV/atom

Material: Ca2TcNiSb
Method: DFT, PBEsol
State: relaxed

Cell lengths 5.1162, 5.1162, 4.4644 Å; angles 90.00, 90.00, 90.00 degrees
Space group P4/mmm (No. 123)
Symmetry-distinct sites (fractional):
Ca: 0.0000 0.5000 0.0000 x2
Tc: 0.0000 0.0000 0.5000 x1
Ni: 0.0000 0.0000 0.0000 x1
Sb: 0.5000 0.5000 0.5000 x1

**Volume**: 23.4 A^3/atom
**Formation energy from raw total energies**: 245.8 meV/atom
**Total energy**: -25.02 eV/f.u.

Material: BaCrRh2
Method: DFT, PBEsol
State: relaxed

Cell lengths 4.8549, 4.8549, 3.1919 Å; angles 90.00, 90.00, 90.00 degrees
Space group P4/mmm (No. 123)
Symmetry-distinct sites (fractional):
Ba: 0.0000 0.0000 0.0000 x1
Cr: 0.5000 0.5000 0.0000 x1
Rh: 0.0000 0.5000 0.5000 x2

**Volume**: 18.8 A^3/atom
**Total energy**: -25.91 eV/f.u.
**DFT formation energy**: 0.689 eV/atom

Material: Ba2CuHg
Method: DFT, PBEsol
State: relaxed

Cell lengths 3.9715, 3.9715, 8.0591 Å; angles 90.00, 90.00, 90.00 degrees
Space group P4/mmm (No. 123)
Symmetry-distinct sites (fractional):
Ba: 0.0000 0.0000 0.2364 x2
Cu: 0.5000 0.5000 0.0000 x1
Hg: 0.5000 0.5000 0.5000 x1

**Volume**: 31.8 A^3/atom
**Total energy**: -9.94 eV/f.u.
**DFT formation energy**: -0.185 eV/atom

Material: Cu2AsRu
Method: DFT, PBEsol
State: relaxed

Cell lengths 2.7377, 2.7377, 24.7323 Å; angles 90.00, 90.00, 120.00 degrees
Space group R-3m (No. 166, hexagonal axes)
Symmetry-distinct sites (fractional):
Cu: 0.0000 0.0000 0.2499 x6
As: 0.0000 0.0000 0.0000 x3
Ru: 0.0000 0.0000 0.5000 x3

**Volume**: 13.4 A^3/atom
**Total energy**: -22.67 eV/f.u.
**DFT formation energy**: 0.320 eV/atom

Material: Hg2HI
Method: DFT, PBEsol
State: relaxed

Cell lengths 5.3404, 5.3404, 13.5665 Å; angles 90.00, 90.00, 90.00 degrees
Space group I-42d (No. 122)
Symmetry-distinct sites (fractional):
Hg: 0.0606 0.2500 0.1250 x8
H: 0.0000 0.0000 0.0000 x4
I: 0.0000 0.0000 0.5000 x4

**Volume**: 24.2 A^3/atom
**Total energy**: -5.51 eV/f.u.

Material: ZrNiTe2
Method: DFT, PBEsol
State: relaxed

Cell lengths 3.8549, 3.6013, 13.6948 Å; angles 90.00, 90.00, 90.00 degrees
Space group Amm2 (No. 38)
Symmetry-distinct sites (fractional):
Zr: 0.0000 0.0000 0.0000 x2
Ni: 0.5000 0.0000 0.4346 x2
Te: 0.0000 0.0000 0.3259 x2
Te: 0.5000 0.0000 0.6132 x2

**Volume**: 23.8 A^3/atom
**Formation energy from raw total energies**: -594.3 meV/atom
**Total energy**: -24.68 eV/f.u.

Material: Rb2MgBe2
Method: DFT, PBEsol
State: relaxed

Cell lengths 3.2357, 3.2357, 25.3955 Å; angles 90.00, 90.00, 90.00 degrees
Space group I4/mmm (No. 139)
Symmetry-distinct sites (fractional):
Rb: 0.0000 0.0000 0.1265 x4
Mg: 0.0000 0.0000 0.5000 x2
Be: 0.0000 0.5000 0.2500 x4

**Volume**: 26.6 A^3/atom
**Total energy**: -8.17 eV/f.u.
**DFT formation energy**: 0.720 eV/atom

Material: Zr3V4Fe2
Method: DFT, PBEsol
State: relaxed

Cell lengths 4.9640, 5.0429, 12.3837 Å; angles 89.07, 88.29, 60.89 degrees
Space group P-1 (No. 2)
Symmetry-distinct sites (fractional):
Zr: 0.0095 0.4922 0.1206 x2
Zr: 0.3319 0.8327 0.5431 x2
Zr: 0.3322 0.8408 0.7950 x2
V: 0.0000 0.0000 0.0000 x1
V: 0.0000 0.5000 0.5000 x1
V: 0.1695 0.1593 0.3309 x2
V: 0.3310 0.3374 0.6687 x2
V: 0.3411 0.8216 0.1609 x2
Fe: 0.1683 0.6625 0.3309 x2
Fe: 0.5000 0.0000 0.0000 x1
Fe: 0.5000 0.5000 0.0000 x1

**Volume**: 15.0 A^3/atom
**Total energy**: -85.25 eV/f.u.
**DFT formation energy**: -0.169 eV/atom

Material: Re2SbBr
Method: DFT, PBEsol
State: relaxed

Cell lengths 6.4259, 6.4259, 6.4259 Å; angles 90.00, 90.00, 90.00 degrees
Space group Fm-3m (No. 225)
Symmetry-distinct sites (fractional):
Re: 0.2500 0.2500 0.2500 x8
Sb: 0.0000 0.0000 0.0000 x4
Br: 0.0000 0.0000 0.5000 x4

**Volume**: 16.6 A^3/atom
**Formation energy from raw total energies**: 1086.9 meV/atom
**Total energy**: -28.74 eV/f.u.